## DyNp2ScS4 (PBE)

Data for DyNp2ScS4 after structural relaxation.

```
DyNp2ScS4
1.0
6.638 0.000 0.000
0.000 3.862 0.000
-2.253 0.000 6.333
Dy Np Sc S
1 2 1 4
direct
0.000 0.000 0.000
0.500 0.000 0.500
0.500 0.500 0.000
0.000 0.500 0.500
0.239 0.000 0.740
0.244 0.500 0.256
0.756 0.500 0.744
0.761 0.000 0.260
```

Calculated values
- calculated volume (Å³/f.u.) = 162.3
- theoretical density (g cm⁻³) = 8.28
- crystal system = monoclinic
- E_form (uncorrected) (meV/atom) = -1629
- symmetry = No. 10
- total DFT energy (no corrections) (eV per atom) = -8.29



## Tl2Hg8Sb (PBE)

Data for Tl2Hg8Sb after structural relaxation.

```
Tl2Hg8Sb
1.0
5.076 0.000 0.000
0.000 5.076 0.000
0.000 0.000 12.486
Tl Hg Sb
2 8 1
direct
0.000 0.000 0.182
0.000 0.000 0.818
0.000 0.500 0.000
0.000 0.500 0.355
0.000 0.500 0.645
0.500 0.000 0.000
0.500 0.000 0.355
0.500 0.000 0.645
0.500 0.500 0.185
0.500 0.500 0.815
0.000 0.000 0.500
```

Calculated values
- calculated volume (Å³/f.u.) = 321.7
- theoretical density (g cm⁻³) = 11.02
- crystal system = tetragonal
- E_form (uncorrected) (meV/atom) = 26
- symmetry = No. 123
- total DFT energy (no corrections) (eV per atom) = -1.00



## YZrHg4 (PBE)

Data for YZrHg4 after structural relaxation.

```
YZrHg4
1.0
0.000 4.135 4.135
4.135 0.000 4.135
4.135 4.135 0.000
Y Zr Hg
1 1 4
direct
0.000 0.000 0.000
0.750 0.750 0.750
0.375 0.375 0.375
0.375 0.375 0.874
0.375 0.874 0.375
0.874 0.375 0.375
```

Calculated values
- calculated volume (Å³/f.u.) = 141.4
- theoretical density (g cm⁻³) = 11.54
- energy relative to the lowest polymorph listed for this composition (eV per atom) = 0.177
- crystal system = cubic
- symmetry = No. 216
- total DFT energy (no corrections) (eV per atom) = -2.73



## VPt (PBE)

Data for VPt after structural relaxation.

```
VPt
1.0
4.400 0.000 0.000
0.000 2.708 0.000
0.000 0.000 4.807
V Pt
2 2
direct
0.250 0.000 0.171
0.750 0.000 0.829
0.250 0.500 0.682
0.750 0.500 0.318
```

Calculated values
- calculated volume (Å³/f.u.) = 28.6
- theoretical density (g cm⁻³) = 14.26
- crystal system = orthorhombic
- symmetry = No. 51
- total DFT energy (no corrections) (eV per atom) = -8.15



## Hg2PO (PBE)

Data for Hg2PO after structural relaxation.

```
Hg2PO
1.0
0.000 3.272 3.272
3.272 0.000 3.272
3.272 3.272 0.000
Hg P O
2 1 1
direct
0.250 0.250 0.250
0.750 0.750 0.750
0.000 0.000 0.000
0.500 0.500 0.500
```

Calculated values
- calculated volume (Å³/f.u.) = 70.0
- theoretical density (g cm⁻³) = 10.63
- energy relative to the lowest polymorph listed for this composition (eV per atom) = 0.453
- crystal system = cubic
- E_form (uncorrected) (meV/atom) = 612
- symmetry = No. 225
- total DFT energy (no corrections) (eV per atom) = -2.13



## ThBeIr2 (PBE)

Data for ThBeIr2 after structural relaxation.

```
ThBeIr2
1.0
2.062 -8.406 0.000
2.062 8.406 0.000
0.000 0.000 4.061
Th Be Ir
2 2 4
direct
0.137 0.863 0.000
0.863 0.137 0.000
0.432 0.568 0.500
0.568 0.432 0.500
0.000 0.000 0.500
0.298 0.702 0.500
0.500 0.500 0.000
0.702 0.298 0.500
```

Calculated values
- calculated volume (Å³/f.u.) = 70.4
- theoretical density (g cm⁻³) = 14.76
- energy relative to the lowest polymorph listed for this composition (eV per atom) = 0.000
- crystal system = orthorhombic
- symmetry = No. 65
- total DFT energy (no corrections) (eV per atom) = -7.98